Entry 1:
# PBE-GGA CoTc2As, optimized geometry
# Space-group type: Pmm2 (25)
# Final energy in Ry/atom: -0.588
# Energy of formation in kJ per mole of atoms: 12
# ρ in g/cm3: 9.85
data_CoTc2As
_chemical_formula_sum 'Co1 Tc2 As1'
_cell_length_a 2.8662
_cell_length_b 3.7589
_cell_length_c 5.1590
_cell_angle_alpha 90.00
_cell_angle_beta 90.00
_cell_angle_gamma 90.00
_space_group_name_H-M_alt 'P 1'
_space_group_IT_number 1
_space_group_name_Hall 'P 1'
loop_
_atom_site_label
_atom_site_type_symbol
_atom_site_fract_x
_atom_site_fract_y
_atom_site_fract_z
_atom_site_occupancy
As1 As 0.0000 0.0000 0.5206 1
Co1 Co 0.5000 0.5000 0.7371 1
Tc1 Tc 0.5000 0.5000 0.2355 1
Tc2 Tc 0.0000 0.0000 0.0069 1

Entry 2:
# PBE-GGA CoTc2As, optimized geometry
# Space-group type: I-4m2 (119)
# Final energy in Ry/atom: -0.589
# Energy of formation in kJ per mole of atoms: 11
# ρ in g/cm3: 10.16
data_CoTc2As
_chemical_formula_sum 'Co1 Tc2 As1'
_cell_length_a 4.6209
_cell_length_b 4.6209
_cell_length_c 4.6209
_cell_angle_alpha 131.68
_cell_angle_beta 131.68
_cell_angle_gamma 70.73
_space_group_name_H-M_alt 'P 1'
_space_group_IT_number 1
_space_group_name_Hall 'P 1'
loop_
_atom_site_label
_atom_site_type_symbol
_atom_site_fract_x
_atom_site_fract_y
_atom_site_fract_z
_atom_site_occupancy
As1 As 0.5000 0.5000 0.0000 1
Tc1 Tc 0.0000 0.0000 0.0000 1
Tc2 Tc 0.2500 0.7500 0.5000 1
Co1 Co 0.7500 0.2500 0.5000 1

Entry 3:
# PBE-GGA CoTc2As, optimized geometry
# Space-group type: Cm (8)
# Final energy in Ry/atom: -0.588
# Energy of formation in kJ per mole of atoms: 12
# ρ in g/cm3: 9.93
data_CoTc2As
_chemical_formula_sum 'Co1 Tc2 As1'
_cell_length_a 4.6374
_cell_length_b 4.6374
_cell_length_c 4.4265
_cell_angle_alpha 84.12
_cell_angle_beta 84.12
_cell_angle_gamma 35.64
_space_group_name_H-M_alt 'P 1'
_space_group_IT_number 1
_space_group_name_Hall 'P 1'
loop_
_atom_site_label
_atom_site_type_symbol
_atom_site_fract_x
_atom_site_fract_y
_atom_site_fract_z
_atom_site_occupancy
Co1 Co 0.7383 0.7383 0.7537 1
Tc1 Tc 0.2581 0.2581 0.2387 1
Tc2 Tc 0.9996 0.9996 0.9975 1
As1 As 0.5039 0.5039 0.5101 1

Which value of final energy does entry 2 give? -0.589 Ry/atom